*P*
# Li3Cu3P2O8

A relaxed Li3Cu3P2O8 crystal (PBEsol, the Alexandria database).

Cell: 5.052 6.186 5.265 Å, 90.00 90.55 90.00°
Space group Pm (No. 6)
One atom of each set of equivalent atoms:
Li 0.000 0.000 0.000 [1 per cell]
Li 0.018 0.251 0.488 [2 per cell]
Cu 0.480 0.287 0.798 [2 per cell]
Cu 0.511 0.500 0.389 [1 per cell]
P 0.509 0.000 0.315 [1 per cell]
P 0.999 0.500 0.999 [1 per cell]
O 0.085 0.292 0.854 [2 per cell]
O 0.109 0.500 0.274 [1 per cell]
O 0.204 0.000 0.336 [1 per cell]
O 0.603 0.000 0.037 [1 per cell]
O 0.634 0.199 0.457 [2 per cell]
O 0.692 0.500 0.016 [1 per cell]

---

*Q*
# Li3Cu3P2O8

A relaxed Li3Cu3P2O8 crystal (PBEsol, the Alexandria database).

Cell: 5.032 5.259 6.182 Å, 88.05 88.96 89.85°
Space group P1 (No. 1)
One atom of each set of equivalent atoms:
Li 0.000 0.000 0.000 [1 per cell]
Li 0.013 0.998 0.504 [1 per cell]
Li 0.497 0.647 0.996 [1 per cell]
Cu 0.023 0.531 0.746 [1 per cell]
Cu 0.480 0.680 0.482 [1 per cell]
Cu 0.502 0.102 0.259 [1 per cell]
P 0.503 0.154 0.757 [1 per cell]
P 0.989 0.489 0.241 [1 per cell]
O 0.083 0.635 0.442 [1 per cell]
O 0.093 0.212 0.246 [1 per cell]
O 0.103 0.639 0.038 [1 per cell]
O 0.196 0.136 0.749 [1 per cell]
O 0.597 0.433 0.757 [1 per cell]
O 0.608 0.004 0.961 [1 per cell]
O 0.632 0.023 0.557 [1 per cell]
O 0.681 0.492 0.239 [1 per cell]

---

The least stable of the structures above is *Q*, whereas *P* is the most stable.